(1)
VASP calculation (GGA-PBE) on crystalline K3OsF7 at its relaxed geometry.

Unit cell a=5.668 b=5.668 c=6.447 alpha=113.30 beta=113.30 gamma=88.23
Fractional positions:
K (0.000, 0.000, 0.000)
K (0.269, 0.744, 0.489)
K (0.744, 0.269, 0.489)
Os (0.463, 0.463, 0.962)
F (0.157, 0.598, 0.765)
F (0.166, 0.166, 0.738)
F (0.359, 0.359, 0.188)
F (0.476, 0.816, 0.213)
F (0.598, 0.157, 0.765)
F (0.637, 0.637, 0.831)
F (0.816, 0.476, 0.213)

Calculated values
- total DFT energy (no corrections) (eV per atom) = -4.73
- space group = Cm
- magnetization (Bohr magnetons per cell) = 0.01
- crystal system = monoclinic

(2)
VASP calculation (GGA-PBE) on crystalline K2PaF6 at its relaxed geometry.

Unit cell a=5.498 b=5.498 c=11.490 alpha=90.00 beta=90.00 gamma=90.00
Fractional positions:
K (0.000, 0.000, 0.167)
K (0.000, 0.000, 0.833)
K (0.500, 0.500, 0.333)
K (0.500, 0.500, 0.667)
Pa (0.000, 0.000, 0.500)
Pa (0.500, 0.500, 0.000)
F (0.184, 0.184, 0.355)
F (0.184, 0.184, 0.645)
F (0.218, 0.218, 0.000)
F (0.282, 0.718, 0.500)
F (0.316, 0.684, 0.145)
F (0.316, 0.684, 0.855)
F (0.684, 0.316, 0.145)
F (0.684, 0.316, 0.855)
F (0.718, 0.282, 0.500)
F (0.782, 0.782, 0.000)
F (0.816, 0.816, 0.355)
F (0.816, 0.816, 0.645)

Calculated values
- total DFT energy (no corrections) (eV per atom) = -5.95
- space group = P4_2/mnm
- magnetization (Bohr magnetons per cell) = 2.00
- crystal system = tetragonal

Question: Look up the magnetization of the second one.
Answer: 2.00 Bohr magnetons per cell